# 1
VASP calculation (PBE) on a geometry-optimized NdScHg3 structure. Values from VASP.

Formation energy from the elements: -38 kJ per mole of atoms
Mass density: 10.7 g cm⁻³
Energy: -2.80 eV per atom
Crystal system: orthorhombic
Magnetic moment: 0.23 μB/f.u.

```
&SYSTEM
  ibrav = 0, nat = 10, ntyp = 3
/
ATOMIC_SPECIES
Nd 144.24 Nd.upf
Sc 44.96 Sc.upf
Hg 200.59 Hg.upf
CELL_PARAMETERS angstrom
1.730 -14.469 0.000
1.730 14.469 0.000
0.000 0.000 4.896
ATOMIC_POSITIONS crystal
Nd 0.078 0.922 0.750
Nd 0.922 0.078 0.250
Sc 0.212 0.788 0.250
Sc 0.788 0.212 0.750
Hg 0.312 0.688 0.250
Hg 0.372 0.628 0.750
Hg 0.474 0.526 0.750
Hg 0.526 0.474 0.250
Hg 0.628 0.372 0.250
Hg 0.688 0.312 0.750
```

=====

# 2
VASP calculation (PBE) on a geometry-optimized Cd2AsIr structure. Values from VASP.

Formation energy from the elements: 22 kJ per mole of atoms
Mass density: 11.1 g cm⁻³
Energy: -3.60 eV per atom
Crystal system: orthorhombic
Magnetic moment: 0.00 μB/f.u.

```
&SYSTEM
  ibrav = 0, nat = 8, ntyp = 3
/
ATOMIC_SPECIES
Cd 112.41 Cd.upf
As 74.92 As.upf
Ir 192.22 Ir.upf
CELL_PARAMETERS angstrom
5.619 0.000 0.000
0.000 8.407 0.000
0.000 0.000 3.105
ATOMIC_POSITIONS crystal
Cd 0.250 0.250 0.000
Cd 0.250 0.750 0.000
Cd 0.750 0.250 0.000
Cd 0.750 0.750 0.000
As 0.000 0.000 0.500
As 0.500 0.500 0.500
Ir 0.000 0.500 0.500
Ir 0.500 0.000 0.500
```

=====

# 3
VASP calculation (PBE) on a geometry-optimized BCl structure. Values from VASP.

ΔE to the lowest computed polymorph: 507.3 meV/atom
Mass density: 1.6 g cm⁻³
E_form (uncorrected): -132 meV/atom
Energy: -4.39 eV per atom
Crystal system: hexagonal
Magnetic moment: 0.00 μB/f.u.

```
&SYSTEM
  ibrav = 0, nat = 12, ntyp = 2
/
ATOMIC_SPECIES
B 10.81 B.upf
Cl 35.45 Cl.upf
CELL_PARAMETERS angstrom
10.409 0.000 0.000
-5.204 9.014 0.000
0.000 0.000 3.105
ATOMIC_POSITIONS crystal
B 0.026 0.482 0.250
B 0.456 0.974 0.250
B 0.482 0.456 0.750
B 0.518 0.544 0.250
B 0.544 0.026 0.750
B 0.974 0.518 0.750
Cl 0.138 0.400 0.250
Cl 0.262 0.862 0.250
Cl 0.400 0.262 0.750
Cl 0.600 0.738 0.250
Cl 0.738 0.138 0.750
Cl 0.862 0.600 0.750
```

=====

# 4
VASP calculation (PBE) on a geometry-optimized DyCu6Sn6 structure. Values from VASP.

Formation energy from the elements: -8 kJ per mole of atoms
Mass density: 8.5 g cm⁻³
Energy: -4.17 eV per atom
Crystal system: orthorhombic
Magnetic moment: 0.00 μB/f.u.

```
&SYSTEM
  ibrav = 0, nat = 13, ntyp = 3
/
ATOMIC_SPECIES
Dy 162.50 Dy.upf
Cu 63.55 Cu.upf
Sn 118.71 Sn.upf
CELL_PARAMETERS angstrom
-2.792 4.516 4.882
2.792 -4.516 4.882
2.792 4.516 -4.882
ATOMIC_POSITIONS crystal
Dy 0.000 0.000 0.000
Cu 0.000 0.000 0.500
Cu 0.000 0.500 0.000
Cu 0.251 0.500 0.751
Cu 0.500 0.000 0.000
Cu 0.500 0.500 0.500
Cu 0.749 0.500 0.249
Sn 0.164 0.664 0.500
Sn 0.332 0.332 0.000
Sn 0.339 0.000 0.339
Sn 0.661 0.000 0.661
Sn 0.668 0.668 0.000
Sn 0.836 0.336 0.500
```

=====

# 5
VASP calculation (PBE) on a geometry-optimized Tb5Dy7Ho structure. Values from VASP.

Formation energy from the elements: 25 kJ per mole of atoms
Mass density: 8.2 g cm⁻³
Energy: -4.35 eV per atom
Crystal system: orthorhombic
Magnetic moment: 0.00 μB/f.u.

```
&SYSTEM
  ibrav = 0, nat = 13, ntyp = 3
/
ATOMIC_SPECIES
Tb 158.93 Tb.upf
Dy 162.50 Dy.upf
Ho 164.93 Ho.upf
CELL_PARAMETERS angstrom
-3.325 5.538 5.755
3.325 -5.538 5.755
3.325 5.538 -5.755
ATOMIC_POSITIONS crystal
Tb 0.000 0.000 0.000
Tb 0.271 0.230 0.504
Tb 0.271 0.768 0.042
Tb 0.726 0.230 0.958
Tb 0.726 0.768 0.496
Dy 0.079 0.250 0.830
Dy 0.420 0.250 0.170
Dy 0.500 0.500 0.000
Dy 0.579 0.749 0.830
Dy 0.693 0.193 0.500
Dy 0.919 0.749 0.170
Dy 0.999 0.499 0.500
Ho 0.306 0.806 0.500
```

=====

# 6
VASP calculation (PBE) on a geometry-optimized BaNiMo3 structure. Values from VASP.

Formation energy from the elements: 142 kJ per mole of atoms
ΔE to the lowest computed polymorph: 0.0 meV/atom
Mass density: 7.4 g cm⁻³
Energy: -6.57 eV per atom
Crystal system: cubic
Magnetic moment: 4.15 μB/f.u.

```
&SYSTEM
  ibrav = 0, nat = 5, ntyp = 3
/
ATOMIC_SPECIES
Ba 137.33 Ba.upf
Ni 58.69 Ni.upf
Mo 95.94 Mo.upf
CELL_PARAMETERS angstrom
4.762 0.000 0.000
0.000 4.762 0.000
0.000 0.000 4.762
ATOMIC_POSITIONS crystal
Ba 0.000 0.000 0.000
Ni 0.500 0.500 0.500
Mo 0.000 0.500 0.500
Mo 0.500 0.000 0.500
Mo 0.500 0.500 0.000
```

=====

# 7
VASP calculation (PBE) on a geometry-optimized Na5Tl3F12 structure. Values from VASP.

Mass density: 5.2 g cm⁻³
E_form (uncorrected): -2203 meV/atom
Energy: -4.01 eV per atom
Crystal system: cubic
Magnetic moment: 0.00 μB/f.u.

```
&SYSTEM
  ibrav = 0, nat = 80, ntyp = 3
/
ATOMIC_SPECIES
Na 22.99 Na.upf
Tl 204.38 Tl.upf
F 19.00 F.upf
CELL_PARAMETERS angstrom
-6.743 6.743 6.743
6.743 -6.743 6.743
6.743 6.743 -6.743
ATOMIC_POSITIONS crystal
Na 0.000 0.000 0.000
Na 0.000 0.000 0.500
Na 0.000 0.500 0.000
Na 0.000 0.500 0.500
Na 0.125 0.750 0.875
Na 0.125 0.875 0.250
Na 0.250 0.125 0.875
Na 0.250 0.625 0.375
Na 0.375 0.250 0.625
Na 0.375 0.625 0.750
Na 0.500 0.000 0.000
Na 0.500 0.000 0.500
Na 0.500 0.500 0.000
Na 0.500 0.500 0.500
Na 0.625 0.375 0.250
Na 0.625 0.750 0.375
Na 0.750 0.375 0.625
Na 0.750 0.875 0.125
Na 0.875 0.125 0.750
Na 0.875 0.250 0.125
Tl 0.125 0.250 0.375
Tl 0.125 0.375 0.750
Tl 0.250 0.375 0.125
Tl 0.250 0.875 0.625
Tl 0.375 0.125 0.250
Tl 0.375 0.750 0.125
Tl 0.625 0.250 0.875
Tl 0.625 0.875 0.750
Tl 0.750 0.125 0.375
Tl 0.750 0.625 0.875
Tl 0.875 0.625 0.250
Tl 0.875 0.750 0.625
F 0.053 0.226 0.135
F 0.053 0.327 0.918
F 0.082 0.635 0.409
F 0.082 0.947 0.673
F 0.091 0.726 0.673
F 0.091 0.865 0.418
F 0.135 0.053 0.226
F 0.135 0.582 0.909
F 0.173 0.226 0.591
F 0.173 0.447 0.582
F 0.226 0.135 0.053
F 0.226 0.591 0.173
F 0.274 0.327 0.909
F 0.274 0.447 0.365
F 0.327 0.909 0.274
F 0.327 0.918 0.053
F 0.365 0.274 0.447
F 0.365 0.591 0.918
F 0.409 0.082 0.635
F 0.409 0.827 0.774
F 0.418 0.091 0.865
F 0.418 0.827 0.553
F 0.447 0.365 0.274
F 0.447 0.582 0.173
F 0.553 0.418 0.827
F 0.553 0.635 0.726
F 0.582 0.173 0.447
F 0.582 0.909 0.135
F 0.591 0.173 0.226
F 0.591 0.918 0.365
F 0.635 0.409 0.082
F 0.635 0.726 0.553
F 0.673 0.082 0.947
F 0.673 0.091 0.726
F 0.726 0.553 0.635
F 0.726 0.673 0.091
F 0.774 0.409 0.827
F 0.774 0.865 0.947
F 0.827 0.553 0.418
F 0.827 0.774 0.409
F 0.865 0.418 0.091
F 0.865 0.947 0.774
F 0.909 0.135 0.582
F 0.909 0.274 0.327
F 0.918 0.053 0.327
F 0.918 0.365 0.591
F 0.947 0.673 0.082
F 0.947 0.774 0.865
```

=====

# 8
VASP calculation (PBE) on a geometry-optimized AsC2S structure. Values from VASP.

ΔE to the lowest computed polymorph: 0.0 meV/atom
Mass density: 4.3 g cm⁻³
E_form (uncorrected): 1705 meV/atom
Energy: -5.10 eV per atom
Crystal system: tetragonal
Magnetic moment: 0.00 μB/f.u.

```
&SYSTEM
  ibrav = 0, nat = 16, ntyp = 3
/
ATOMIC_SPECIES
As 74.92 As.upf
C 12.01 C.upf
S 32.06 S.upf
CELL_PARAMETERS angstrom
4.295 0.000 0.000
0.000 4.295 0.000
0.000 0.000 10.920
ATOMIC_POSITIONS crystal
As 0.000 0.000 0.000
As 0.000 0.500 0.250
As 0.500 0.000 0.750
As 0.500 0.500 0.500
C 0.235 0.250 0.625
C 0.250 0.735 0.875
C 0.250 0.765 0.375
C 0.265 0.250 0.125
C 0.735 0.750 0.125
C 0.750 0.235 0.375
C 0.750 0.265 0.875
C 0.765 0.750 0.625
S 0.000 0.000 0.500
S 0.000 0.500 0.750
S 0.500 0.000 0.250
S 0.500 0.500 0.000
```

=====

We obtain DOS at the Fermi energy values of 0.91, 0.60, 0.54, 0.25, 1.77, 1.63, 0.07, 0.16 states/eV per atom for the records listed above, in that order.